Entry 1:
First-principles (SCAN) data for a PBEsol-optimized structure of Fe2HgCl, as listed in Alexandria.

Cell lengths 2.9157, 4.3220, 5.2559 Å; angles 90.00, 90.00, 90.00 degrees
Last column: nearest neighbours and their distance in Å.
Sites, in units of the cell vectors:
Cl  0.0000  0.5000  0.5000  4 Fe 2.61, 2 Cl 2.92
Hg  0.5000  0.5000  0.0000  4 Fe 2.61, 2 Hg 2.92
Fe  0.0000  0.0000  0.0000  4 Hg 2.61, 2 Fe 2.92
Fe  0.5000  0.0000  0.5000  4 Cl 2.61, 2 Fe 2.92

raw formation energy	0.41	eV per atom
DOS at the Fermi energy	2.9	states/eV/f.u.
volume	16.56	Å³ per atom
raw total energy	-27.6867	eV/atom
ΔE to the lowest computed polymorph	0.179	eV per atom



Entry 2:
First-principles (SCAN) data for a PBEsol-optimized structure of RbCd2Ni2, as listed in Alexandria.

Cell lengths 4.4140, 4.4140, 6.4229 Å; angles 110.10, 110.10, 90.00 degrees
Last column: nearest neighbours and their distance in Å.
Sites, in units of the cell vectors:
Ni  0.2500  0.7500  0.5000  4 Cd 2.56
Ni  0.7500  0.2500  0.5000  4 Cd 2.56
Rb  0.0000  0.0000  0.0000  8 Cd 3.47, 8 Ni 3.57
Cd  0.3652  0.3652  0.7305  4 Ni 2.56
Cd  0.6348  0.6348  0.2695  4 Ni 2.56

energy relative to the elements	435.2	meV per atom
DOS at the Fermi energy	3.1	states/eV/f.u.
volume	21.87	Å³ per atom
raw total energy	-22.3477	eV/atom



Entry 3:
First-principles (SCAN) data for a PBEsol-optimized structure of Sc3HSe, as listed in Alexandria.

Cell lengths 4.2524, 4.2524, 4.2524 Å; angles 90.00, 90.00, 90.00 degrees
Last column: nearest neighbours and their distance in Å.
Sites, in units of the cell vectors:
Sc  0.0000  0.5000  0.0000  2 H 2.13
Sc  0.0000  0.0000  0.5000  2 H 2.13
Sc  0.5000  0.0000  0.0000  2 H 2.13
H  0.0000  0.0000  0.0000  6 Sc 2.13
Se  0.5000  0.5000  0.5000  12 Sc 3.01

DOS at the Fermi energy	4.1	states/eV/f.u.
volume	15.38	Å³ per atom
raw total energy	-13.7200	eV/atom